Here is an optimized crystal structure of Li7Co5O12 from Alexandria via LeMat-Bulk. Energies are from GGA+U.

Values from the calculation:
Energy relative to the lowest polymorph listed for this composition   9 meV per atom
VASP energy   -133.22 eV/cell
Density   4.51 g cm⁻³

CIF file:
```
data_Li7Co5O12
_chemical_formula_sum 'Li7 Co5 O12'
_cell_length_a 4.998
_cell_length_b 5.679
_cell_length_c 7.494
_cell_angle_alpha 79.00
_cell_angle_beta 77.92
_cell_angle_gamma 73.25
_symmetry_space_group_name_H-M 'P -1'
_symmetry_Int_Tables_number 2
loop_
_symmetry_equiv_pos_as_xyz
'x,y,z'
'-x,-y,-z'
loop_
_atom_site_label
_atom_site_type_symbol
_atom_site_fract_x
_atom_site_fract_y
_atom_site_fract_z
Li1 Li 0.000 0.000 0.000
Li2 Li 0.000 0.500 0.000
Li3 Li 0.001 0.159 0.338
Li4 Li 0.004 0.328 0.664
Li5 Li 0.500 0.000 0.500
Co1 Co 0.497 0.672 0.830
Co2 Co 0.498 0.167 0.832
Co3 Co 0.500 0.500 0.500
O1 O 0.272 0.992 0.762
O2 O 0.278 0.812 0.409
O3 O 0.279 0.495 0.744
O4 O 0.280 0.346 0.407
O5 O 0.284 0.160 0.082
O6 O 0.289 0.656 0.078
```